Density functional theory data (PBE-GGA) for a relaxed structure of BaCdRe2.

a b c (Å): 6.8662 6.8662 6.8662
angles (deg): 148.28 138.88 52.85
Fractional coordinates of all 4 atoms:
Re1 0.9065 0.9065 0.0000
Re2 0.7914 0.2914 0.5000
Cd1 0.2712 0.7712 0.5000
Ba1 0.5310 0.5310 0.0000

Results
Space group = Imm2
Fermi-level density of states = 4.75 states/eV/cell
Electronic total energy = -24.34 eV for the cell shown